## CaPbW3 (PBE-GGA)

Data for a relaxed CaPbW3 crystal.

ΔH_f (0 K) ... 3098.3 meV/atom
Crystal system ... cubic
E_tot ... -5.816 eV/atom
SG ... Pm-3m (221)
Polymorph energy (0 for the lowest one) ... 428.4 meV/atom

Structure (POSCAR):
```
CaPbW3
1.0
-0.177 4.144 2.324
-3.314 1.559 -3.031
-3.404 -1.733 2.830
Pb Ca W
1 1 3
direct
0.500 0.500 0.500
0.000 0.000 0.000
0.000 0.500 0.000
0.000 0.000 0.500
0.500 0.000 0.000
```

=====

## CaPb2W (PBE-GGA)

Data for a relaxed CaPb2W crystal.

ΔH_f (0 K) ... 430.7 meV/atom
Crystal system ... tetragonal
E_tot ... -5.162 eV/atom
SG ... P4/mmm (123)
Polymorph energy (0 for the lowest one) ... 0.0 meV/atom

Structure (POSCAR):
```
CaPb2W
1.0
-1.717 1.319 -2.794
-2.279 -2.699 0.127
-4.579 4.091 4.745
Pb Ca W
2 1 1
direct
0.000 0.000 0.040
0.000 0.000 0.460
0.500 0.500 0.750
0.500 0.500 0.250
```

=====

## CaPb2W (PBE-GGA)

Data for a relaxed CaPb2W crystal.

ΔH_f (0 K) ... 601.0 meV/atom
Crystal system ... tetragonal
E_tot ... -4.992 eV/atom
SG ... P4mm (99)
Polymorph energy (0 for the lowest one) ... 170.3 meV/atom

Structure (POSCAR):
```
CaPb2W
1.0
3.712 0.000 0.000
0.000 3.712 0.000
0.000 0.000 7.673
Pb Ca W
2 1 1
direct
0.000 0.000 0.028
0.500 0.500 0.309
0.500 0.500 0.724
0.000 0.000 0.439
```

=====

## Ca3PbW (PBE-GGA)

Data for a relaxed Ca3PbW crystal.

ΔH_f (0 K) ... 876.1 meV/atom
Crystal system ... cubic
E_tot ... -3.657 eV/atom
SG ... Pm-3m (221)
Polymorph energy (0 for the lowest one) ... 0.0 meV/atom

Structure (POSCAR):
```
Ca3PbW
1.0
5.546 0.000 0.000
0.000 5.546 0.000
0.000 0.000 5.546
Pb Ca W
1 3 1
direct
0.500 0.500 0.500
0.000 0.500 0.000
0.000 0.000 0.500
0.500 0.000 0.000
0.000 0.000 0.000
```

=====

## CaPb2W (PBE-GGA)

Data for a relaxed CaPb2W crystal.

ΔH_f (0 K) ... 608.5 meV/atom
Crystal system ... orthorhombic
E_tot ... -4.984 eV/atom
SG ... Cmm2 (35)
Polymorph energy (0 for the lowest one) ... 177.9 meV/atom

Structure (POSCAR):
```
CaPb2W
1.0
3.106 0.007 0.000
-0.741 3.016 0.000
0.000 0.000 11.474
Pb Ca W
2 1 1
direct
0.000 0.000 0.973
0.500 0.500 0.303
0.500 0.500 0.717
0.000 0.000 0.507
```

=====

## CaPb2W (PBE-GGA)

Data for a relaxed CaPb2W crystal.

ΔH_f (0 K) ... 650.4 meV/atom
Crystal system ... monoclinic
E_tot ... -4.942 eV/atom
SG ... Cm (8)
Polymorph energy (0 for the lowest one) ... 219.7 meV/atom

Structure (POSCAR):
```
CaPb2W
1.0
-0.789 -5.476 2.466
1.446 -5.879 0.181
3.780 0.271 3.649
Pb Ca W
2 1 1
direct
0.996 0.996 0.018
0.771 0.771 0.724
0.234 0.234 0.246
0.499 0.499 0.512
```

=====

## CaPb2W (PBE-GGA)

Data for a relaxed CaPb2W crystal.

ΔH_f (0 K) ... 642.0 meV/atom
Crystal system ... orthorhombic
E_tot ... -4.951 eV/atom
SG ... Imm2 (44)
Polymorph energy (0 for the lowest one) ... 211.3 meV/atom

Structure (POSCAR):
```
CaPb2W
1.0
6.225 -0.008 0.013
3.223 5.326 -0.013
-4.398 -3.238 2.987
Pb Ca W
2 1 1
direct
0.994 0.994 0.000
0.719 0.219 0.500
0.272 0.772 0.500
0.515 0.515 0.000
```

=====

## CaPb2W (PBE-GGA)

Data for a relaxed CaPb2W crystal.

ΔH_f (0 K) ... 549.0 meV/atom
Crystal system ... monoclinic
E_tot ... -5.044 eV/atom
SG ... P2/m (10)
Polymorph energy (0 for the lowest one) ... 118.3 meV/atom

Structure (POSCAR):
```
CaPb2W
1.0
4.877 0.000 0.000
0.000 3.192 0.029
0.000 0.741 6.284
Pb Ca W
2 1 1
direct
0.000 0.106 0.013
0.000 0.394 0.487
0.500 0.750 0.750
0.500 0.250 0.250
```

=====

| no. | calculated volume (Å³ per cell) |
| --- | --- |
| 1 | 107 |
| 2 | 97 |
| 3 | 106 |
| 4 | 171 |
| 5 | 108 |
| 6 | 98 |
| 7 | 99 |
| 8 | 98 |